Th2AlSi3: relaxed, PBE.

Properties
- symmetry = Imm2 (44)
- energy relative to the elements, uncorrected (meV/atom) = -588.9
- crystal system = orthorhombic
- E (hartree per atom) = -0.23510
- magnetic moment (μB per formula unit) = 0.00

Structure (extended XYZ):
```
6
Lattice="-2.835 -0.665 -2.974 2.805 1.038 -2.906 2.132 -7.184 2.485" Properties=species:S:1:pos:R:3 pbc="T T T"
Si 0.169 -0.422 -2.979
Si 2.636 -3.558 -1.718
Si 0.872 -2.743 -3.130
Th 0.144 -5.491 -1.822
Th 0.549 -1.813 -0.118
Al 3.341 -5.889 -1.869
```